No. 1
LiRe2Pb | PBE-GGA | optimized geometry

The value obtained for the density of states at the Fermi level is 3.2 states/eV per cell. The value obtained for the total magnetic moment is 0.00 μB/f.u. The calculation puts the calculated density at 14.7 g/cm3. As for the energy of formation: 0.6667 eV/atom. As for the space group: Pmmm (47).

Cell and atoms, written as extended XYZ:
```
4
Lattice="3.223 0.000 0.000 0.000 4.333 0.000 0.000 0.000 4.729" Properties=species:S:1:pos:R:3 pbc="T T T"
Li 1.612 0.000 2.365
Pb 0.000 2.167 2.365
Re 0.000 0.000 0.000
Re 1.612 2.167 0.000
```

No. 2
LiRe2Pb | PBE-GGA | optimized geometry

The value obtained for the density of states at the Fermi level is 3.5 states/eV per cell. The value obtained for the total magnetic moment is 0.00 μB/f.u. The calculation puts the calculated density at 14.6 g/cm3. As for the energy of formation: 0.9114 eV/atom. As for the space group: P4/mmm (123).

Cell and atoms, written as extended XYZ:
```
4
Lattice="3.359 0.000 0.000 0.000 3.359 0.000 0.000 0.000 5.898" Properties=species:S:1:pos:R:3 pbc="T T T"
Li 1.680 1.680 1.475
Pb 1.680 1.680 4.424
Re 0.000 0.000 0.297
Re 0.000 0.000 2.652
```

No. 3
LiRe3Pb | PBE-GGA | optimized geometry

The value obtained for the density of states at the Fermi level is 6.3 states/eV per cell. Its polymorph energy (0 for the lowest one) is 7.293 eV per formula unit. The value obtained for the total magnetic moment is 4.89 μB/f.u. The calculation puts the calculated density at 9.9 g/cm3. As for the energy of formation: 3.1394 eV/atom. As for the space group: Pm-3m (221).

Cell and atoms, written as extended XYZ:
```
5
Lattice="-3.883 -2.645 -1.871 1.143 -3.851 3.072 -3.031 1.936 3.554" Properties=species:S:1:pos:R:3 pbc="T T T"
Pb 0.000 0.000 0.000
Re 0.571 -1.925 1.536
Re -1.516 0.968 1.777
Re -1.941 -1.322 -0.935
Li -2.885 -2.280 2.378
```

No. 4
LiRe3Pb | PBE-GGA | optimized geometry

The value obtained for the density of states at the Fermi level is 6.1 states/eV per cell. Its polymorph energy (0 for the lowest one) is 0.000 eV per formula unit. The value obtained for the total magnetic moment is 0.00 μB/f.u. The calculation puts the calculated density at 16.2 g/cm3. As for the energy of formation: 1.6809 eV/atom. As for the space group: Pm-3m (221).

Cell and atoms, written as extended XYZ:
```
5
Lattice="-0.810 -4.062 -1.135 3.137 -1.353 2.603 -2.819 -0.339 3.222" Properties=species:S:1:pos:R:3 pbc="T T T"
Pb -0.246 -2.877 2.345
Re 1.568 -0.676 1.301
Re -1.410 -0.169 1.611
Re -0.405 -2.031 -0.568
Li 0.000 0.000 0.000
```

No. 5
LiRe2Pb | PBE-GGA | optimized geometry

The value obtained for the density of states at the Fermi level is 2.9 states/eV per cell. The value obtained for the total magnetic moment is 0.00 μB/f.u. The calculation puts the calculated density at 13.4 g/cm3. As for the energy of formation: 0.5971 eV/atom. As for the space group: Cmm2 (35).

Cell and atoms, written as extended XYZ:
```
4
Lattice="-1.621 -0.641 2.303 -0.944 -1.077 -2.509 5.209 -7.951 1.453" Properties=species:S:1:pos:R:3 pbc="T T T"
Li 2.470 -3.770 0.689
Pb 2.647 -6.856 0.993
Re 0.156 -0.237 0.043
Re -0.023 -2.781 0.249
```

No. 6
LiRe2Pb | PBE-GGA | optimized geometry

The value obtained for the density of states at the Fermi level is 1.4 states/eV per cell. The value obtained for the total magnetic moment is 0.00 μB/f.u. The calculation puts the calculated density at 14.6 g/cm3. As for the energy of formation: 0.3218 eV/atom. As for the space group: Pmm2 (25).

Cell and atoms, written as extended XYZ:
```
4
Lattice="3.112 0.000 0.000 0.000 3.131 -0.004 0.000 3.136 6.845" Properties=species:S:1:pos:R:3 pbc="T T T"
Li 0.000 3.135 3.199
Pb 1.556 4.705 5.008
Re 0.000 3.129 0.327
Re 1.556 1.564 1.724
```

No. 7
LiRePb3 | PBE-GGA | optimized geometry

The value obtained for the density of states at the Fermi level is 3.2 states/eV per cell. Its polymorph energy (0 for the lowest one) is 0.000 eV per formula unit. The value obtained for the total magnetic moment is 0.00 μB/f.u. The calculation puts the calculated density at 8.6 g/cm3. As for the energy of formation: 0.5446 eV/atom. As for the space group: Pm-3m (221).

Cell and atoms, written as extended XYZ:
```
5
Lattice="5.392 0.000 0.000 0.000 5.392 0.000 0.000 0.000 5.392" Properties=species:S:1:pos:R:3 pbc="T T T"
Pb 0.000 2.696 0.000
Pb 0.000 0.000 2.696
Pb 2.696 0.000 0.000
Re 0.000 0.000 0.000
Li 2.696 2.696 2.696
```

No. 8
LiRe2Pb | PBE-GGA | optimized geometry

The value obtained for the density of states at the Fermi level is 3.5 states/eV per cell. The value obtained for the total magnetic moment is 0.00 μB/f.u. The calculation puts the calculated density at 13.4 g/cm3. As for the energy of formation: 0.8257 eV/atom. As for the space group: Pmmm (47).

Cell and atoms, written as extended XYZ:
```
4
Lattice="-2.007 1.990 0.148 -0.551 -0.869 4.225 4.089 4.024 1.361" Properties=species:S:1:pos:R:3 pbc="T T T"
Li -0.257 1.566 2.527
Pb 1.788 3.578 3.207
Re 0.234 0.230 0.078
Re 1.810 1.781 0.602
```

No. 9
LiRe2Pb | PBE-GGA | optimized geometry

The value obtained for the density of states at the Fermi level is 5.4 states/eV per cell. The value obtained for the total magnetic moment is 0.00 μB/f.u. The calculation puts the calculated density at 14.0 g/cm3. As for the energy of formation: 1.0958 eV/atom. As for the space group: R-3m (166).

Cell and atoms, written as extended XYZ:
```
4
Lattice="9.469 -0.011 -0.006 9.016 2.891 -0.006 9.016 1.405 2.527" Properties=species:S:1:pos:R:3 pbc="T T T"
Li 20.626 3.214 1.886
Pb 6.875 1.071 0.629
Re 0.033 0.005 0.003
Re 13.718 2.138 1.254
```

No. 10
LiRe2Pb | PBE-GGA | optimized geometry

The value obtained for the density of states at the Fermi level is 2.2 states/eV per cell. The value obtained for the total magnetic moment is 0.00 μB/f.u. The calculation puts the calculated density at 14.2 g/cm3. As for the energy of formation: 0.5893 eV/atom. As for the space group: C2/m (12).

Cell and atoms, written as extended XYZ:
```
4
Lattice="5.010 0.002 0.017 4.035 2.970 0.017 0.542 0.178 4.629" Properties=species:S:1:pos:R:3 pbc="T T T"
Li 7.190 2.363 3.497
Pb 2.397 0.788 1.166
Re 0.534 0.176 4.414
Re 4.801 1.577 2.546
```

No. 11
Li3RePb | PBE-GGA | optimized geometry

The value obtained for the density of states at the Fermi level is 8.9 states/eV per cell. Its polymorph energy (0 for the lowest one) is 0.000 eV per formula unit. The value obtained for the total magnetic moment is 2.52 μB/f.u. The calculation puts the calculated density at 6.0 g/cm3. As for the energy of formation: 1.1455 eV/atom. As for the space group: Pm-3m (221).

Cell and atoms, written as extended XYZ:
```
5
Lattice="-4.495 1.773 0.515 -1.785 -4.520 -0.020 0.472 -0.207 4.832" Properties=species:S:1:pos:R:3 pbc="T T T"
Pb -2.904 -1.477 2.664
Re 0.000 0.000 0.000
Li -0.892 -2.260 -0.010
Li 0.236 -0.104 2.416
Li -2.248 0.886 0.257
```

No. 12
LiRePb3 | PBE-GGA | optimized geometry

The value obtained for the density of states at the Fermi level is 5.6 states/eV per cell. Its polymorph energy (0 for the lowest one) is 3.037 eV per formula unit. The value obtained for the total magnetic moment is 3.57 μB/f.u. The calculation puts the calculated density at 10.5 g/cm3. As for the energy of formation: 1.1520 eV/atom. As for the space group: Pm-3m (221).

Cell and atoms, written as extended XYZ:
```
5
Lattice="5.045 0.000 0.000 0.000 5.045 0.000 0.000 0.000 5.045" Properties=species:S:1:pos:R:3 pbc="T T T"
Pb 0.000 2.522 0.000
Pb 0.000 0.000 2.522
Pb 2.522 0.000 0.000
Re 2.522 2.522 2.522
Li 0.000 0.000 0.000
```

No. 13
LiRe2Pb | PBE-GGA | optimized geometry

The value obtained for the density of states at the Fermi level is 3.1 states/eV per cell. The value obtained for the total magnetic moment is 0.00 μB/f.u. The calculation puts the calculated density at 14.2 g/cm3. As for the energy of formation: 0.7022 eV/atom. As for the space group: C2/m (12).

Cell and atoms, written as extended XYZ:
```
4
Lattice="5.734 0.003 -0.017 -3.218 4.745 -0.017 0.780 1.473 2.501" Properties=species:S:1:pos:R:3 pbc="T T T"
Li 3.257 0.738 1.242
Pb -1.219 3.109 1.242
Re 0.000 0.000 0.000
Re 1.258 2.374 -0.017
```

No. 14
LiRe2RhPb | PBE-GGA | optimized geometry

The value obtained for the density of states at the Fermi level is 5.4 states/eV per cell. The value obtained for the total magnetic moment is 5.99 μB/f.u. The calculation puts the calculated density at 8.6 g/cm3. As for the energy of formation: 2.4733 eV/atom. As for the space group: P4/mmm (123).

Cell and atoms, written as extended XYZ:
```
5
Lattice="5.158 0.000 0.000 0.000 5.025 0.000 0.000 0.000 5.158" Properties=species:S:1:pos:R:3 pbc="T T T"
Pb 0.000 0.000 0.000
Re 0.000 0.000 2.579
Re 2.579 0.000 0.000
Rh 0.000 2.512 0.000
Li 2.579 2.512 2.579
```

No. 15
LiRhPb | PBE-GGA | optimized geometry

The value obtained for the density of states at the Fermi level is 1.7 states/eV per cell. The value obtained for the total magnetic moment is 0.00 μB/f.u. The calculation puts the calculated density at 9.1 g/cm3. As for the energy of formation: 0.0754 eV/atom. As for the space group: P3m1 (156).

Cell and atoms, written as extended XYZ:
```
3
Lattice="3.204 0.000 0.000 -1.602 2.775 0.000 0.000 0.000 6.541" Properties=species:S:1:pos:R:3 pbc="T T T"
Li 0.000 0.000 6.323
Pb 1.602 0.925 2.328
Rh 0.000 1.850 4.431
```

No. 16
LiRhPb2 | PBE-GGA | optimized geometry

The value obtained for the density of states at the Fermi level is 2.4 states/eV per cell. The value obtained for the total magnetic moment is 0.00 μB/f.u. The calculation puts the calculated density at 10.3 g/cm3. As for the energy of formation: -0.1288 eV/atom. As for the space group: P2/m (10).

Cell and atoms, written as extended XYZ:
```
4
Lattice="-2.547 -2.119 0.979 -0.162 -1.288 -3.208 4.606 -6.286 -1.622" Properties=species:S:1:pos:R:3 pbc="T T T"
Pb -0.063 -1.401 -3.195
Pb 2.123 -3.674 -2.427
Rh -0.163 -2.953 -0.718
Li 2.059 -6.740 -3.133
```

No. 17
Li4RhPb | PBE-GGA | optimized geometry

The value obtained for the density of states at the Fermi level is 4.1 states/eV per cell. Its polymorph energy (0 for the lowest one) is 0.000 eV per formula unit. The value obtained for the total magnetic moment is 0.00 μB/f.u. The calculation puts the calculated density at 5.9 g/cm3. As for the energy of formation: -0.2470 eV/atom. As for the space group: P2_1/m (11).

Cell and atoms, written as extended XYZ:
```
12
Lattice="-2.623 -3.149 1.821 1.139 1.922 4.963 -5.551 5.806 2.043" Properties=species:S:1:pos:R:3 pbc="T T T"
Li -2.046 3.205 5.357
Li -0.026 1.562 5.423
Li -4.363 2.426 6.194
Li -6.421 4.012 5.972
Li -4.989 1.373 3.470
Li -2.671 2.152 2.634
Li -7.008 3.017 3.405
Li -0.614 0.566 2.855
Rh -3.225 -0.661 2.496
Rh -3.810 5.239 6.331
Pb -2.660 0.304 4.977
Pb -4.375 4.275 3.850
```

No. 18
LiRh2Pb | PBE-GGA | optimized geometry

The value obtained for the density of states at the Fermi level is 5.1 states/eV per cell. The value obtained for the total magnetic moment is 0.00 μB/f.u. The calculation puts the calculated density at 10.8 g/cm3. As for the energy of formation: -0.0810 eV/atom. As for the space group: I-4m2 (119).

Cell and atoms, written as extended XYZ:
```
4
Lattice="-4.741 0.560 0.605 -1.725 -4.355 1.104 3.656 2.443 1.956" Properties=species:S:1:pos:R:3 pbc="T T T"
Li -3.233 -1.897 0.854
Pb -2.159 0.553 1.708
Rh -6.466 -3.795 1.709
Rh -0.653 -1.906 1.958
```

No. 19
LiRhPb | PBE-GGA | optimized geometry

The value obtained for the density of states at the Fermi level is 5.1 states/eV per cell. The value obtained for the total magnetic moment is 0.00 μB/f.u. The calculation puts the calculated density at 8.3 g/cm3. As for the energy of formation: -0.0145 eV/atom. As for the space group: I4/mmm (139).

Cell and atoms, written as extended XYZ:
```
6
Lattice="3.503 0.000 0.000 0.000 3.503 0.000 -1.752 -1.752 10.338" Properties=species:S:1:pos:R:3 pbc="T T T"
Rh 0.000 0.000 5.961
Rh 1.752 1.752 4.376
Pb 0.000 0.000 3.062
Pb 1.752 1.752 7.275
Li 1.752 1.752 1.516
Li 0.000 0.000 8.821
```

No. 20
LiRh2Pb4 | PBE-GGA | optimized geometry

The value obtained for the density of states at the Fermi level is 7.5 states/eV per cell. The value obtained for the total magnetic moment is 0.00 μB/f.u. The calculation puts the calculated density at 10.8 g/cm3. As for the energy of formation: -0.0951 eV/atom. As for the space group: Cc (9).

Cell and atoms, written as extended XYZ:
```
14
Lattice="7.226 0.120 -1.881 -4.042 5.991 -1.881 -0.166 -0.320 7.480" Properties=species:S:1:pos:R:3 pbc="T T T"
Li -0.431 2.535 1.719
Li 2.241 0.940 5.459
Rh 2.279 1.470 2.717
Rh 5.472 0.442 -1.321
Rh -2.857 4.577 2.419
Rh -0.018 2.870 -1.023
Pb 4.465 1.975 4.309
Pb -0.857 4.951 0.569
Pb -0.912 4.352 4.392
Pb 4.173 1.906 0.651
Pb -0.144 1.002 4.062
Pb 2.322 4.326 -1.461
Pb 2.131 4.222 2.279
Pb 0.987 0.616 0.322
```